No. 1
Entry from Alexandria via LeMat-Bulk: an optimized crystal structure of Nd2Fe2Si2C (PBE).

The space group is C2/m (No. 12) and the conventional cell measures 10.816, 4.002 and 6.974 Å, with angles of 90.00, 128.77 and 90.00 degrees. Symmetry generates all atoms from Nd at (0.059, 0.000, 0.299), Fe at (0.196, 0.500, 0.088), Si at (0.176, 0.500, 0.739) and C at (0.000, 0.500, 0.000).

As for the uncorrected formation energy: -4.232 eV/f.u. The value obtained for the magnetization is 0.0 μB/f.u. As for the uncorrected energy: -7.2518 eV per atom.

=====

No. 2
Entry from Alexandria via LeMat-Bulk: an optimized crystal structure of NdU2FeC4 (PBE).

The space group is Cmcm (No. 63) and the conventional cell measures 3.547, 11.368 and 11.582 Å, with angles of 90.00, 90.00 and 90.00 degrees. Symmetry generates all atoms from Nd at (0.000, 0.101, 0.250), U at (0.000, 0.369, 0.051), Fe at (0.000, 0.163, 0.750), C at (0.000, 0.000, 0.000), C at (0.000, 0.255, 0.618) and C at (0.000, 0.420, 0.250).

The calculation puts the formation energy at -0.083 eV/atom. The value obtained for the magnetization is 0.0 μB/f.u. As for the uncorrected energy: -9.1707 eV per atom.

=====

No. 3
Entry from Alexandria via LeMat-Bulk: an optimized crystal structure of Nd2ZnFeC (PBE).

The space group is P4/mmm (No. 123) and the conventional cell measures 5.210, 5.210 and 3.682 Å, with angles of 90.00, 90.00 and 90.00 degrees. Symmetry generates all atoms from Nd at (0.000, 0.500, 0.000), Zn at (0.000, 0.000, 0.500), Fe at (0.500, 0.500, 0.500) and C at (0.500, 0.500, 0.000).

The calculation puts the formation energy at -0.203 eV/atom. The value obtained for the magnetization is 0.2 μB/f.u. As for the uncorrected energy: -5.9025 eV per atom.

=====

No. 4
Entry from Alexandria via LeMat-Bulk: an optimized crystal structure of NdZnFeC (PBE).

The space group is P4/nmm (No. 129, origin choice 2) and the conventional cell measures 3.491, 3.491 and 10.598 Å, with angles of 90.00, 90.00 and 90.00 degrees. Symmetry generates all atoms from Nd at (0.250, 0.250, 0.226), Zn at (0.250, 0.750, 0.500), Fe at (0.250, 0.750, 0.000) and C at (0.250, 0.250, 0.914).

The calculation puts the formation energy at -0.127 eV/atom. The value obtained for the magnetization is 0.0 μB/f.u. As for the uncorrected energy: -6.0588 eV per atom.

=====

No. 5
Entry from Alexandria via LeMat-Bulk: an optimized crystal structure of FeNiC (PBE).

The space group is Cm (No. 8) and the conventional cell measures 9.959, 2.809 and 4.530 Å, with angles of 90.00, 116.55 and 90.00 degrees. Symmetry generates all atoms from Fe at (0.000, 0.000, 0.000), Fe at (0.247, 0.000, 0.933), Ni at (0.248, 0.500, 0.435), Ni at (0.495, 0.000, 0.494), C at (0.132, 0.500, 0.965) and C at (0.366, 0.000, 0.713).

The calculation puts the formation energy at 0.233 eV/atom. The value obtained for the magnetization is 1.2 μB/f.u. As for the uncorrected energy: -7.5895 eV per atom.

=====

No. 6
Entry from Alexandria via LeMat-Bulk: an optimized crystal structure of FeNiC (PBE).

The space group is P2/m (No. 10) and the conventional cell measures 4.351, 2.840 and 4.564 Å, with angles of 90.00, 91.76 and 90.00 degrees. Symmetry generates all atoms from Fe at (0.246, 0.000, 0.348), Ni at (0.245, 0.500, 0.841), C at (0.000, 0.000, 0.000) and C at (0.500, 0.500, 0.500).

The calculation puts the formation energy at 0.119 eV/atom. The value obtained for the magnetization is 1.2 μB/f.u. As for the uncorrected energy: -7.7034 eV per atom.

=====

No. 7
Entry from Alexandria via LeMat-Bulk: an optimized crystal structure of Fe2NiC (PBE).

The space group is I-42d (No. 122) and the conventional cell measures 6.267, 6.267 and 4.151 Å, with angles of 90.00, 90.00 and 90.00 degrees. Symmetry generates all atoms from Fe at (0.150, 0.250, 0.125), Ni at (0.000, 0.000, 0.500) and C at (0.000, 0.000, 0.000).

The calculation puts the formation energy at 0.325 eV/atom. The value obtained for the magnetization is 3.7 μB/f.u. As for the uncorrected energy: -7.6581 eV per atom.

=====

No. 8
Entry from Alexandria via LeMat-Bulk: an optimized crystal structure of FeNiC3 (PBE).

The space group is Pm-3m (No. 221) and the conventional cell measures 3.665, 3.665 and 3.665 Å, with angles of 90.00, 90.00 and 90.00 degrees. Symmetry generates all atoms from Fe at (0.000, 0.000, 0.000), Ni at (0.500, 0.500, 0.500) and C at (0.000, 0.500, 0.500).

The calculation puts the formation energy at 2.518 eV/atom. The value obtained for the magnetization is 0.0 μB/f.u. As for the uncorrected energy: -5.8649 eV per atom.

=====

No. 9
Entry from Alexandria via LeMat-Bulk: an optimized crystal structure of FeNiC (PBE).

The space group is Cm (No. 8) and the conventional cell measures 9.611, 2.775 and 4.235 Å, with angles of 90.00, 98.65 and 90.00 degrees. Symmetry generates all atoms from Fe at (0.000, 0.000, 0.000), Fe at (0.247, 0.500, 0.064), Ni at (0.081, 0.500, 0.502), Ni at (0.324, 0.000, 0.591), C at (0.156, 0.000, 0.782) and C at (0.405, 0.000, 0.196).

The calculation puts the formation energy at 0.203 eV/atom. The value obtained for the magnetization is 1.4 μB/f.u. As for the uncorrected energy: -7.6193 eV per atom.

=====

No. 10
Entry from Alexandria via LeMat-Bulk: an optimized crystal structure of Fe2NiC (PBE).

The space group is Pnma (No. 62) and the conventional cell measures 5.061, 6.730 and 4.422 Å, with angles of 90.00, 90.00 and 90.00 degrees. Symmetry generates all atoms from Fe at (0.177, 0.069, 0.171), Ni at (0.038, 0.250, 0.659) and C at (0.121, 0.750, 0.941).

The calculation puts the formation energy at 0.079 eV/atom. The value obtained for the magnetization is 3.9 μB/f.u. As for the uncorrected energy: -7.9034 eV per atom.

=====

No. 11
Entry from Alexandria via LeMat-Bulk: an optimized crystal structure of Fe2NiC (PBE).

The space group is R3m (No. 160, hexagonal axes) and the conventional cell measures 2.7450, 2.7450 and 18.4313 Å, with angles of 90.00, 90.00 and 120.00 degrees. Symmetry generates all atoms from Fe at (0.0000, 0.0000, 0.0000), Fe at (0.0000, 0.0000, 0.2168), Ni at (0.0000, 0.0000, 0.7745) and C at (0.0000, 0.0000, 0.6098).

The calculation puts the formation energy at 0.176 eV/atom. The value obtained for the magnetization is 3.9 μB/f.u. As for the uncorrected energy: -7.8071 eV per atom.

=====

No. 12
Entry from Alexandria via LeMat-Bulk: an optimized crystal structure of FeNiC (PBE).

The space group is Cmme (No. 67) and the conventional cell measures 4.989, 5.019 and 4.507 Å, with angles of 90.00, 90.00 and 90.00 degrees. Symmetry generates all atoms from Fe at (0.250, 0.000, 0.000), Ni at (0.000, 0.000, 0.500) and C at (0.000, 0.250, 0.173).

The calculation puts the formation energy at 0.129 eV/atom. The value obtained for the magnetization is 0.3 μB/f.u. As for the uncorrected energy: -7.6933 eV per atom.